# 1
Compound: K7IBr2O2
Source: the Alexandria database
Functional: PBE-GGA
Structure: optimized geometry

abc: 14.2368 14.2368 14.2368
angles: 158.54 158.54 30.53
Element x y z (fractional)
K 0.0000 0.0000 0.0000
K 0.0990 0.5990 0.5000
K 0.1924 0.1924 0.0000
K 0.4010 0.9010 0.5000
K 0.5990 0.0990 0.5000
K 0.8076 0.8076 0.0000
K 0.9010 0.4010 0.5000
I 0.5000 0.5000 0.0000
Br 0.3147 0.3147 0.0000
Br 0.6853 0.6853 0.0000
O 0.0991 0.0991 0.0000
O 0.9009 0.9009 0.0000

calculated volume = 386.02 Å³/f.u.
electronic total energy = -38.9 eV for the cell shown

***

# 2
Compound: K5I2BrO
Source: the Alexandria database
Functional: PBE-GGA
Structure: optimized geometry

abc: 9.5720 9.5720 9.5720
angles: 148.27 131.80 58.87
Element x y z (fractional)
K 0.0000 0.0000 0.0000
K 0.1228 0.3874 0.7355
K 0.3481 0.6126 0.7355
K 0.6519 0.3874 0.2645
K 0.8772 0.6126 0.2645
I 0.2130 0.2130 0.0000
I 0.7870 0.7870 0.0000
Br 0.5000 0.0000 0.5000
O 0.0000 0.5000 0.5000

calculated volume = 341.09 Å³/f.u.
electronic total energy = -27.7 eV for the cell shown

***

# 3
Compound: K2IBrO6
Source: the Alexandria database
Functional: PBE-GGA
Structure: optimized geometry

abc: 6.6248 6.6248 5.0242
angles: 104.23 104.23 48.62
Element x y z (fractional)
K 0.2338 0.2338 0.2203
K 0.7662 0.7662 0.7797
I 0.5000 0.5000 0.0000
Br 0.0000 0.0000 0.5000
O 0.1832 0.6826 0.1962
O 0.3174 0.8168 0.8038
O 0.3566 0.3566 0.7482
O 0.6434 0.6434 0.2518
O 0.6826 0.1832 0.1962
O 0.8168 0.3174 0.8038

calculated volume = 159.31 Å³/f.u.
electronic total energy = -41.7 eV for the cell shown
DOS at the Fermi energy = 0.0 states/eV/f.u.

***

# 4
Compound: KI2BrO
Source: the Alexandria database
Functional: PBE-GGA
Structure: optimized geometry

abc: 6.1954 6.1954 4.1054
angles: 90.00 90.00 90.00
Element x y z (fractional)
K 0.0000 0.0000 0.0000
I 0.0000 0.5000 0.5000
I 0.5000 0.0000 0.5000
Br 0.5000 0.5000 0.5000
O 0.5000 0.5000 0.0000

calculated volume = 157.58 Å³/f.u.
electronic total energy = -11.8 eV for the cell shown
DOS at the Fermi energy = 3.7 states/eV/f.u.
polymorph energy (0 for the lowest one) = 0.000 eV per atom

***

# 5
Compound: KI2BrO
Source: the Alexandria database
Functional: PBE-GGA
Structure: optimized geometry

abc: 6.7034 6.7034 5.1573
angles: 90.00 90.00 90.00
Element x y z (fractional)
K 0.0000 0.0000 0.0000
I 0.0000 0.5000 0.0000
I 0.5000 0.0000 0.0000
Br 0.5000 0.5000 0.5000
O 0.0000 0.0000 0.5000

calculated volume = 231.75 Å³/f.u.
electronic total energy = -9.2 eV for the cell shown
DOS at the Fermi energy = 6.3 states/eV/f.u.
polymorph energy (0 for the lowest one) = 0.514 eV per atom

***

# 6
Compound: KPaI2Br8
Source: the Alexandria database
Functional: PBE-GGA
Structure: optimized geometry

abc: 7.4040 9.4966 9.7864
angles: 112.96 109.66 90.50
Element x y z (fractional)
K 0.0000 0.0000 0.0000
Pa 0.0000 0.5000 0.0000
I 0.4554 0.7730 0.5299
I 0.5446 0.2270 0.4701
Br 0.0640 0.6254 0.8112
Br 0.0705 0.2247 0.8160
Br 0.3921 0.5780 0.1888
Br 0.4847 0.0466 0.1759
Br 0.5153 0.9534 0.8241
Br 0.6079 0.4220 0.8112
Br 0.9295 0.7753 0.1840
Br 0.9360 0.3746 0.1888

calculated volume = 588.84 Å³/f.u.
electronic total energy = -39.3 eV for the cell shown

***

# 7
Compound: K3PaI6Br2
Source: the Alexandria database
Functional: PBE-GGA
Structure: optimized geometry

abc: 10.3535 10.3535 7.5044
angles: 103.57 103.57 56.16
Element x y z (fractional)
K 0.0000 0.0000 0.0000
K 0.0000 0.5000 0.5000
K 0.5000 0.0000 0.5000
Pa 0.5000 0.5000 0.5000
I 0.1934 0.6239 0.2646
I 0.3761 0.8066 0.7354
I 0.3955 0.3955 0.7421
I 0.6045 0.6045 0.2579
I 0.6239 0.1934 0.2646
I 0.8066 0.3761 0.7354
Br 0.1621 0.1621 0.2757
Br 0.8379 0.8379 0.7243

calculated volume = 644.12 Å³/f.u.
electronic total energy = -40.4 eV for the cell shown

***

# 8
Compound: K2PaI6Br
Source: the Alexandria database
Functional: PBE-GGA
Structure: optimized geometry

abc: 8.4919 8.5639 9.3987
angles: 75.43 76.38 62.44
Element x y z (fractional)
K 0.0000 0.0000 0.0000
K 0.3461 0.5547 0.3855
Pa 0.4219 0.3771 0.8851
I 0.1147 0.5033 0.1212
I 0.1936 0.3123 0.7314
I 0.3090 0.7440 0.7128
I 0.5406 0.0146 0.0558
I 0.6459 0.4518 0.0359
I 0.7236 0.2500 0.6472
Br 0.0945 0.9506 0.3080

calculated volume = 580.78 Å³/f.u.
electronic total energy = -34.2 eV for the cell shown